1.
DFT (PBE) results for crystalline LuGa2Ru at its relaxed geometry.

Unit cell a=3.185 b=3.185 c=6.833 alpha=90.00 beta=90.00 gamma=90.00
Fractional coordinates of all 4 atoms:
Ru  0.500  0.500  0.000
Lu  0.500  0.500  0.500
Ga  0.000  0.000  0.799
Ga  0.000  0.000  0.201

Properties
total DFT energy (no corrections)	-21.532	eV/cell

2.
DFT (PBE) results for crystalline Lu2GaRu at its relaxed geometry.

Unit cell a=3.409 b=3.409 c=6.903 alpha=90.00 beta=90.00 gamma=90.00
Fractional coordinates of all 4 atoms:
Ru  0.500  0.500  0.000
Lu  0.000  0.000  0.767
Lu  0.000  0.000  0.233
Ga  0.500  0.500  0.500

Properties
total DFT energy (no corrections)	-23.768	eV/cell

3.
DFT (PBE) results for crystalline LuScGaRu at its relaxed geometry.

Unit cell a=4.736 b=4.736 c=4.736 alpha=60.00 beta=60.00 gamma=60.00
Fractional coordinates of all 4 atoms:
Sc  0.000  0.000  0.000
Ru  0.750  0.750  0.750
Lu  0.500  0.500  0.500
Ga  0.250  0.250  0.250

Properties
total DFT energy (no corrections)	-25.339	eV/cell

4.
DFT (PBE) results for crystalline TbLuGaRu at its relaxed geometry.

Unit cell a=4.890 b=4.890 c=4.890 alpha=60.00 beta=60.00 gamma=60.00
Fractional coordinates of all 4 atoms:
Ru  0.750  0.750  0.750
Lu  0.000  0.000  0.000
Tb  0.500  0.500  0.500
Ga  0.250  0.250  0.250

Properties
total DFT energy (no corrections)	-23.357	eV/cell

5.
DFT (PBE) results for crystalline LuTiGaRu at its relaxed geometry.

Unit cell a=4.630 b=4.630 c=4.630 alpha=60.00 beta=60.00 gamma=60.00
Fractional coordinates of all 4 atoms:
Ru  0.500  0.500  0.500
Lu  0.750  0.750  0.750
Ga  0.000  0.000  0.000
Ti  0.250  0.250  0.250

Properties
total DFT energy (no corrections)	-26.379	eV/cell

6.
DFT (PBE) results for crystalline TmLuGaRu at its relaxed geometry.

Unit cell a=4.844 b=4.844 c=4.844 alpha=60.00 beta=60.00 gamma=60.00
Fractional coordinates of all 4 atoms:
Ru  0.750  0.750  0.750
Lu  0.500  0.500  0.500
Tm  0.000  0.000  0.000
Ga  0.250  0.250  0.250

Properties
total DFT energy (no corrections)	-23.343	eV/cell

7.
DFT (PBE) results for crystalline LuZnGaRu at its relaxed geometry.

Unit cell a=4.547 b=4.547 c=4.547 alpha=60.00 beta=60.00 gamma=60.00
Fractional coordinates of all 4 atoms:
Ru  0.750  0.750  0.750
Zn  0.500  0.500  0.500
Lu  0.250  0.250  0.250
Ga  0.000  0.000  0.000

Properties
total DFT energy (no corrections)	-19.400	eV/cell

8.
DFT (PBE) results for crystalline Lu2GaS at its relaxed geometry.

Unit cell a=3.568 b=3.568 c=9.352 alpha=79.00 beta=79.00 gamma=60.00
Fractional coordinates of all 4 atoms:
S  0.500  0.500  0.500
Lu  0.106  0.106  0.682
Lu  0.894  0.894  0.318
Ga  0.000  0.000  0.000

Properties
total DFT energy (no corrections)	-19.147	eV/cell
raw formation energy	-738	meV per atom

9.
DFT (PBE) results for crystalline LuGaSb at its relaxed geometry.

Unit cell a=3.857 b=4.693 c=4.693 alpha=120.00 beta=90.00 gamma=90.00
Fractional coordinates of all 3 atoms:
Sb  0.733  0.667  0.333
Lu  0.299  0.333  0.667
Ga  0.968  0.000  0.000

Properties
total DFT energy (no corrections)	-12.667	eV/cell
raw formation energy	-332	meV per atom

10.
DFT (PBE) results for crystalline LuScGa4 at its relaxed geometry.

Unit cell a=5.375 b=5.375 c=5.375 alpha=60.00 beta=60.00 gamma=60.00
Fractional coordinates of all 6 atoms:
Sc  0.000  0.000  0.000
Lu  0.250  0.250  0.250
Ga  0.625  0.625  0.125
Ga  0.625  0.125  0.625
Ga  0.625  0.625  0.625
Ga  0.125  0.625  0.625

Properties
total DFT energy (no corrections)	-25.925	eV/cell

11.
DFT (PBE) results for crystalline LuScGaSn at its relaxed geometry.

Unit cell a=5.033 b=5.033 c=5.033 alpha=60.00 beta=60.00 gamma=60.00
Fractional coordinates of all 4 atoms:
Sc  0.000  0.000  0.000
Lu  0.500  0.500  0.500
Sn  0.250  0.250  0.250
Ga  0.750  0.750  0.750

Properties
total DFT energy (no corrections)	-19.796	eV/cell

12.
DFT (PBE) results for crystalline LuScGaTc at its relaxed geometry.

Unit cell a=4.750 b=4.750 c=4.750 alpha=60.00 beta=60.00 gamma=60.00
Fractional coordinates of all 4 atoms:
Sc  0.500  0.500  0.500
Lu  0.000  0.000  0.000
Tc  0.750  0.750  0.750
Ga  0.250  0.250  0.250

Properties
total DFT energy (no corrections)	-25.685	eV/cell

13.
DFT (PBE) results for crystalline LuScTiGa at its relaxed geometry.

Unit cell a=4.921 b=4.921 c=4.921 alpha=60.00 beta=60.00 gamma=60.00
Each line ends with the local moment (μB).
Fractional coordinates of all 4 atoms:
Sc  0.500  0.500  0.500  0.35
Lu  0.000  0.000  0.000  0.31
Ga  0.750  0.750  0.750  -0.04
Ti  0.250  0.250  0.250  1.59

Properties
total DFT energy (no corrections)	-22.384	eV/cell

14.
DFT (PBE) results for crystalline LuScZnGa at its relaxed geometry.

Unit cell a=4.836 b=4.836 c=4.836 alpha=60.00 beta=60.00 gamma=60.00
Fractional coordinates of all 4 atoms:
Sc  0.500  0.500  0.500
Zn  0.750  0.750  0.750
Lu  0.000  0.000  0.000
Ga  0.250  0.250  0.250

Properties
total DFT energy (no corrections)	-17.080	eV/cell